# MgMo2Ir3

An optimized crystal structure of MgMo2Ir3 (PBE, the Alexandria database).

a = 2.8271 Å, b = 2.8271 Å, c = 11.3946 Å
α = 90.00°, β = 90.00°, γ = 90.00°
Closest atoms and distances in Å follow each position.
Space group P4/mmm (No. 123)
Unique sites:
Mg (0.0000, 0.0000, 0.0000) x1  8 Ir 2.79, 4 Mg 2.83
Mo (0.0000, 0.0000, 0.3293) x2  8 Ir 2.70-2.79, 4 Mo 2.83
Ir (0.5000, 0.5000, 0.1707) x2  4 Mo 2.70, 4 Mg 2.79, 4 Ir 2.83
Ir (0.5000, 0.5000, 0.5000) x1  8 Mo 2.79, 4 Ir 2.83

Computed properties:
- V: 15.2 Å³ per atom
- Electronic total energy: -51.78 eV/cell

# CuHgSe2

An optimized crystal structure of CuHgSe2 (PBE, the Alexandria database).

a = 7.0920 Å, b = 4.0956 Å, c = 7.3199 Å
α = 90.00°, β = 108.90°, γ = 90.00°
Closest atoms and distances in Å follow each position.
Space group Cm (No. 8)
Unique sites:
Cu (0.0000, 0.0000, 0.0000) x2  4 Se 2.39-2.45
Hg (0.0086, 0.5000, 0.5296) x2  4 Se 2.63-2.69
Se (0.1135, 0.0000, 0.3455) x2  1 Cu 2.39
Se (0.1361, 0.5000, 0.9093) x2  3 Cu 2.45, 1 Hg 2.63

Computed properties:
- V: 25.1 Å³ per atom
- Electronic total energy: -23.70 eV/cell

# HoThPd

An optimized crystal structure of HoThPd (PBE, the Alexandria database).

a = 3.6365 Å, b = 3.6365 Å, c = 11.7710 Å
α = 90.00°, β = 90.00°, γ = 90.00°
Closest atoms and distances in Å follow each position.
Space group I4mm (No. 107)
Unique sites:
Ho (0.0000, 0.0000, 0.0000) x2  4 Pd 3.11, 1 Th 3.44
Th (0.0000, 0.0000, 0.7080) x2  4 Pd 3.08, 1 Ho 3.44
Pd (0.0000, 0.0000, 0.3515) x2  4 Th 3.08, 4 Ho 3.11

Computed properties:
- V: 25.9 Å³ per atom
- Electronic total energy: -37.19 eV/cell

# LaGa12Au6

An optimized crystal structure of LaGa12Au6 (PBE, the Alexandria database).

a = 11.9269 Å, b = 11.9269 Å, c = 9.1120 Å
α = 90.00°, β = 90.00°, γ = 120.00°
Closest atoms and distances in Å follow each position.
Space group R-3m (No. 166, hexagonal axes)
Unique sites:
La (0.0000, 0.0000, 0.0000) x3  6 Ga 3.29
Ga (0.0000, 0.3920, 0.5000) x18  1 Ga 2.58, 4 Au 2.62-2.77
Ga (0.0814, 0.1627, 0.3106) x18  4 Au 2.71-2.90, 4 Ga 2.91-2.92
Au (0.0389, 0.5195, 0.2343) x18  8 Ga 2.62-2.90

Computed properties:
- V: 19.7 Å³ per atom
- Electronic total energy: -194.87 eV/cell

# GaSbAsI2

An optimized crystal structure of GaSbAsI2 (PBE, the Alexandria database).

a = 5.5169 Å, b = 5.5169 Å, c = 5.6377 Å
α = 90.00°, β = 90.00°, γ = 90.00°
Closest atoms and distances in Å follow each position.
Space group P4/mmm (No. 123)
Unique sites:
Ga (0.0000, 0.0000, 0.0000) x1  4 I 2.76, 2 Sb 2.82
Sb (0.0000, 0.0000, 0.5000) x1  2 Ga 2.82
As (0.5000, 0.5000, 0.5000) x1  4 Sb 3.90, 8 I 3.94
I (0.0000, 0.5000, 0.0000) x2  2 Ga 2.76

Computed properties:
- V: 34.3 Å³ per atom
- Electronic total energy: -11.87 eV/cell

# TmZrAs2

An optimized crystal structure of TmZrAs2 (PBE, the Alexandria database).

a = 3.9355 Å, b = 3.9355 Å, c = 19.5970 Å
α = 90.00°, β = 90.00°, γ = 120.00°
Closest atoms and distances in Å follow each position.
Space group R-3m (No. 166, hexagonal axes)
Unique sites:
Tm (0.0000, 0.0000, 0.0000) x3  6 As 2.83
Zr (0.0000, 0.0000, 0.5000) x3  6 As 2.77
As (0.0000, 0.0000, 0.2471) x6  3 Zr 2.77, 3 Tm 2.83

Computed properties:
- V: 21.9 Å³ per atom
- Electronic total energy: -82.59 eV/cell

# Ca3Bi2Pd

An optimized crystal structure of Ca3Bi2Pd (PBE, the Alexandria database).

a = 12.6381 Å, b = 4.6981 Å, c = 12.0264 Å
α = 90.00°, β = 90.00°, γ = 90.00°
Closest atoms and distances in Å follow each position.
Space group Pnma (No. 62)
Unique sites:
Ca (0.0524, 0.2500, 0.1239) x4  1 Pd 3.07, 4 Bi 3.27-3.29
Ca (0.1180, 0.7500, 0.5489) x4  3 Pd 3.20-3.21, 5 Bi 3.27-3.41, 1 Ca 3.54
Ca (0.2345, 0.2500, 0.7985) x4  2 Pd 3.08, 4 Bi 3.25-3.43
Bi (0.0026, 0.7500, 0.3053) x4  2 Pd 2.90
Bi (0.1922, 0.7500, 0.0016) x4  1 Pd 2.84
Pd (0.1230, 0.2500, 0.3678) x4  3 Bi 2.84-2.90, 3 Ca 3.07-3.08

Computed properties:
- V: 29.8 Å³ per atom
- Electronic total energy: -96.03 eV/cell

# Na4Y3SnSe8

An optimized crystal structure of Na4Y3SnSe8 (PBE, the Alexandria database).

a = 8.3015 Å, b = 8.3015 Å, c = 21.0361 Å
α = 90.00°, β = 90.00°, γ = 120.00°
Closest atoms and distances in Å follow each position.
Space group R-3m (No. 166, hexagonal axes)
Unique sites:
Na (0.0000, 0.0000, 0.0000) x3  6 Se 3.07
Na (0.0000, 0.5000, 0.0000) x9  6 Se 3.05-3.06
Y (0.0000, 0.5000, 0.5000) x9  6 Se 2.89
Sn (0.0000, 0.0000, 0.5000) x3  6 Se 2.88
Se (0.0000, 0.0000, 0.2434) x6  3 Y 2.89, 3 Na 3.05
Se (0.0008, 0.5004, 0.2428) x18  1 Sn 2.88, 2 Y 2.89, 3 Na 3.06-3.07

Computed properties:
- V: 26.2 Å³ per atom
- Electronic total energy: -239.38 eV/cell

# Cd3Mo5N12

An optimized crystal structure of Cd3Mo5N12 (PBE, the Alexandria database).

a = 12.8425 Å, b = 12.8425 Å, c = 12.8425 Å
α = 90.00°, β = 90.00°, γ = 90.00°
Closest atoms and distances in Å follow each position.
Space group Ia-3d (No. 230)
Unique sites:
Cd (0.0000, 0.2500, 0.1250) x24  8 N 2.56-2.62
Mo (0.0000, 0.0000, 0.0000) x16  6 N 2.03
Mo (0.0000, 0.2500, 0.3750) x24  4 N 1.87
N (0.0367, 0.0504, 0.6453) x96  2 Mo 1.87-2.03

Computed properties:
- V: 13.2 Å³ per atom
- Electronic total energy: -1220.12 eV/cell

# YCrBr2

An optimized crystal structure of YCrBr2 (PBE, the Alexandria database).

a = 3.6139 Å, b = 4.5127 Å, c = 6.0881 Å
α = 90.00°, β = 90.00°, γ = 90.00°
Closest atoms and distances in Å follow each position.
Space group Pmmm (No. 47)
Unique sites:
Y (0.0000, 0.0000, 0.0000) x1  4 Br 2.89
Cr (0.5000, 0.0000, 0.5000) x1  4 Br 2.89
Br (0.0000, 0.5000, 0.5000) x1  4 Cr 2.89
Br (0.5000, 0.5000, 0.0000) x1  4 Y 2.89

Computed properties:
- V: 24.8 Å³ per atom
- Electronic total energy: -20.69 eV/cell

# Sm2Ge6Rh9

An optimized crystal structure of Sm2Ge6Rh9 (PBE, the Alexandria database).

a = 5.6856 Å, b = 5.6856 Å, c = 11.1501 Å
α = 90.00°, β = 90.00°, γ = 120.00°
Closest atoms and distances in Å follow each position.
Space group P6/mmm (No. 191)
Unique sites:
Sm (0.0000, 0.0000, 0.1983) x2  6 Rh 3.21, 6 Ge 3.30
Ge (0.3333, 0.6667, 0.1653) x4  6 Rh 2.47-2.48
Ge (0.3333, 0.6667, 0.5000) x2  6 Rh 2.49
Rh (0.0000, 0.5000, 0.0000) x3  4 Ge 2.47
Rh (0.0000, 0.5000, 0.3320) x6  4 Ge 2.48-2.49

Computed properties:
- V: 18.4 Å³ per atom
- Electronic total energy: -114.03 eV/cell

# TmMg3Au12

An optimized crystal structure of TmMg3Au12 (PBE, the Alexandria database).

a = 4.2148 Å, b = 4.2148 Å, c = 16.5555 Å
α = 90.00°, β = 90.00°, γ = 90.00°
Closest atoms and distances in Å follow each position.
Space group P4/mmm (No. 123)
Unique sites:
Tm (0.0000, 0.0000, 0.0000) x1  12 Au 2.98-3.03
Mg (0.0000, 0.0000, 0.2564) x2  12 Au 2.91-2.98
Mg (0.0000, 0.0000, 0.5000) x1  12 Au 2.93-2.98
Au (0.0000, 0.5000, 0.1311) x4  8 Au 2.94-3.03, 2 Mg 2.96, 2 Tm 3.03
Au (0.0000, 0.5000, 0.3775) x4  4 Mg 2.91-2.93, 8 Au 2.93-2.98
Au (0.5000, 0.5000, 0.0000) x1  4 Tm 2.98, 8 Au 3.03
Au (0.5000, 0.5000, 0.2547) x2  8 Au 2.93-2.94, 4 Mg 2.98
Au (0.5000, 0.5000, 0.5000) x1  8 Au 2.93, 4 Mg 2.98

Computed properties:
- V: 18.4 Å³ per atom
- Electronic total energy: -55.46 eV/cell

# K2CaZn

An optimized crystal structure of K2CaZn (PBE, the Alexandria database).

a = 4.1257 Å, b = 6.6438 Å, c = 13.4762 Å
α = 90.00°, β = 90.00°, γ = 90.00°
Closest atoms and distances in Å follow each position.
Space group Imm2 (No. 44)
Unique sites:
K (0.0000, 0.0000, 0.0000) x2  2 Zn 3.54
K (0.0000, 0.5000, 0.1919) x2  4 Zn 3.92, 4 K 4.13-4.21, 2 Ca 4.20
Ca (0.0000, 0.0000, 0.3832) x2  2 Zn 3.08
Zn (0.0000, 0.5000, 0.7139) x2  2 Ca 3.08

Computed properties:
- V: 46.2 Å³ per atom
- Electronic total energy: -9.73 eV/cell

# Ta2Sn2B

An optimized crystal structure of Ta2Sn2B (PBE, the Alexandria database).

a = 6.4520 Å, b = 6.4520 Å, c = 4.5416 Å
α = 90.00°, β = 90.00°, γ = 90.00°
Closest atoms and distances in Å follow each position.
Space group P4/mbm (No. 127)
Unique sites:
Ta (0.1519, 0.3481, 0.0000) x4  1 Ta 2.77, 6 Sn 2.84-3.04
Sn (0.1607, 0.6607, 0.5000) x4  2 B 2.42
B (0.0000, 0.0000, 0.5000) x2  4 Sn 2.42

Computed properties:
- V: 18.9 Å³ per atom
- Electronic total energy: -65.98 eV/cell

# TbTm2Pd9

An optimized crystal structure of TbTm2Pd9 (PBE, the Alexandria database).

a = 4.1084 Å, b = 4.1084 Å, c = 12.3158 Å
α = 90.00°, β = 90.00°, γ = 90.00°
Closest atoms and distances in Å follow each position.
Space group P4/mmm (No. 123)
Unique sites:
Tb (0.0000, 0.0000, 0.0000) x1  12 Pd 2.91-2.93
Tm (0.0000, 0.0000, 0.3352) x2  12 Pd 2.89-2.91
Pd (0.0000, 0.5000, 0.1693) x4  8 Pd 2.89-2.93, 2 Tm 2.90, 2 Tb 2.93
Pd (0.0000, 0.5000, 0.5000) x2  4 Tm 2.89, 8 Pd 2.90-2.91
Pd (0.5000, 0.5000, 0.0000) x1  4 Tb 2.91, 8 Pd 2.93
Pd (0.5000, 0.5000, 0.3340) x2  8 Pd 2.89-2.90, 4 Tm 2.91

Computed properties:
- V: 17.3 Å³ per atom
- Electronic total energy: -71.01 eV/cell

# SrMnIn2Ge

An optimized crystal structure of SrMnIn2Ge (PBE, the Alexandria database).

a = 5.1093 Å, b = 5.1093 Å, c = 4.7266 Å
α = 90.00°, β = 90.00°, γ = 90.00°
Closest atoms and distances in Å follow each position.
Space group P4/mmm (No. 123)
Unique sites:
Sr (0.0000, 0.0000, 0.0000) x1  8 In 3.48, 4 Ge 3.61
Mn (0.5000, 0.5000, 0.5000) x1  2 Ge 2.36, 4 In 2.55
In (0.0000, 0.5000, 0.5000) x2  2 Mn 2.55
Ge (0.5000, 0.5000, 0.0000) x1  2 Mn 2.36

Computed properties:
- V: 24.7 Å³ per atom
- Electronic total energy: -21.53 eV/cell

# YMg2BePd

An optimized crystal structure of YMg2BePd (PBE, the Alexandria database).

a = 4.9331 Å, b = 4.9331 Å, c = 5.2883 Å
α = 90.00°, β = 90.00°, γ = 90.00°
Closest atoms and distances in Å follow each position.
Space group P4/mmm (No. 123)
Unique sites:
Y (0.0000, 0.0000, 0.0000) x1  2 Pd 2.64
Mg (0.0000, 0.5000, 0.5000) x2  2 Pd 2.47
Be (0.5000, 0.5000, 0.0000) x1  4 Y 3.49, 8 Mg 3.62
Pd (0.0000, 0.0000, 0.5000) x1  4 Mg 2.47, 2 Y 2.64

Computed properties:
- V: 25.7 Å³ per atom
- Electronic total energy: -17.40 eV/cell

# CuIrBr

An optimized crystal structure of CuIrBr (PBE, the Alexandria database).

a = 6.0567 Å, b = 6.0567 Å, c = 6.0567 Å
α = 90.00°, β = 90.00°, γ = 90.00°
Closest atoms and distances in Å follow each position.
Space group F-43m (No. 216)
Unique sites:
Cu (0.0000, 0.0000, 0.0000) x4  4 Ir 2.62
Ir (0.2500, 0.2500, 0.7500) x4  4 Br 2.62, 4 Cu 2.62
Br (0.0000, 0.0000, 0.5000) x4  4 Ir 2.62

Computed properties:
- V: 18.5 Å³ per atom
- Electronic total energy: -47.69 eV/cell

# HgGeSe

An optimized crystal structure of HgGeSe (PBE, the Alexandria database).

a = 3.6906 Å, b = 3.6906 Å, c = 7.7118 Å
α = 90.00°, β = 90.00°, γ = 120.00°
Closest atoms and distances in Å follow each position.
Space group P3m1 (No. 156)
Unique sites:
Hg (0.0000, 0.0000, 0.0000) x1  3 Ge 3.56, 6 Hg 3.69
Ge (0.3333, 0.6667, 0.6303) x1  3 Se 2.57
Se (0.6667, 0.3333, 0.4435) x1  3 Ge 2.57

Computed properties:
- V: 30.3 Å³ per atom
- Electronic total energy: -8.79 eV/cell

# Hf3Al8Mo

An optimized crystal structure of Hf3Al8Mo (PBE, the Alexandria database).

a = 5.2074 Å, b = 5.2074 Å, c = 25.5828 Å
α = 90.00°, β = 90.00°, γ = 120.00°
Closest atoms and distances in Å follow each position.
Space group R3m (No. 160, hexagonal axes)
Unique sites:
Hf (0.0000, 0.0000, 0.0000) x3  12 Al 3.00-3.07, 3 Mo 3.18, 1 Hf 3.25
Hf (0.0000, 0.0000, 0.1271) x3  12 Al 3.05-3.07, 4 Hf 3.21-3.25
Hf (0.0000, 0.0000, 0.5044) x3  12 Al 3.03-3.13, 1 Mo 3.11, 3 Hf 3.21
Al (0.0000, 0.0000, 0.3142) x3  6 Al 2.59-2.60
Al (0.0000, 0.0000, 0.8149) x3  6 Al 2.60-2.64
Al (0.0009, 0.5005, 0.0636) x9  6 Al 2.59-2.64
Al (0.0014, 0.5007, 0.5649) x9  6 Al 2.59-2.61
Mo (0.0000, 0.0000, 0.6259) x3  12 Al 3.04-3.07, 4 Hf 3.11-3.18

Computed properties:
- V: 16.7 Å³ per atom
- Electronic total energy: -223.93 eV/cell